Material: Rb4Ca3Br10
Method: DFT, PBE
State: optimized geometry

Output
The mass density comes out at 3.18 Mg/m³. As for the uncorrected formation energy: -1.9036 eV per atom.

Unit cell a=20.487 b=20.487 c=20.487 alpha=163.93 beta=163.93 gamma=22.80
Sites, in units of the cell vectors:
Rb: 0.069 0.069 0.000
Rb: 0.201 0.201 0.000
Rb: 0.799 0.799 0.000
Rb: 0.931 0.931 0.000
Ca: 0.356 0.356 0.000
Ca: 0.500 0.500 0.000
Ca: 0.644 0.644 0.000
Br: 0.000 0.500 0.500
Br: 0.140 0.640 0.500
Br: 0.286 0.286 0.000
Br: 0.360 0.860 0.500
Br: 0.429 0.429 0.000
Br: 0.500 0.000 0.500
Br: 0.571 0.571 0.000
Br: 0.640 0.140 0.500
Br: 0.714 0.714 0.000
Br: 0.860 0.360 0.500